# 1
Compound: RbSc3Cu
Source: the Alexandria database
Functional: meta-GGA SCAN
Structure: single point on PBEsol structure

- DFT total energy (eV/atom) = -15.294
- energy relative to the elements (kJ/mol of atoms) = 42
- calculated volume (Å³ per atom) = 27.4

Cell: 5.157 5.157 5.157 Å, 90.00 90.00 90.00°
Sites, in units of the cell vectors:
Rb: 0.000 0.000 0.000
Sc: 0.000 0.500 0.500
Sc: 0.500 0.000 0.500
Sc: 0.500 0.500 0.000
Cu: 0.500 0.500 0.500

# 2
Compound: RbScCu3
Source: the Alexandria database
Functional: meta-GGA SCAN
Structure: single point on PBEsol structure

- DFT total energy (eV/atom) = -14.415
- energy relative to the elements (kJ/mol of atoms) = 164
- calculated volume (Å³ per atom) = 24.3

Cell: 4.951 4.951 4.951 Å, 90.00 90.00 90.00°
Sites, in units of the cell vectors:
Rb: 0.000 0.000 0.000
Sc: 0.500 0.500 0.500
Cu: 0.000 0.000 0.500
Cu: 0.000 0.500 0.000
Cu: 0.500 0.000 0.000

# 3
Compound: RbCuSe4
Source: the Alexandria database
Functional: meta-GGA SCAN
Structure: single point on PBEsol structure

- DFT total energy (eV/atom) = -19.859
- calculated volume (Å³ per atom) = 25.9

Cell: 5.424 8.589 13.362 Å, 90.00 90.00 90.00°
Sites, in units of the cell vectors:
Rb: 0.177 0.049 0.330
Rb: 0.323 0.951 0.830
Rb: 0.677 0.451 0.670
Rb: 0.823 0.549 0.170
Cu: 0.029 0.131 0.064
Cu: 0.471 0.869 0.564
Cu: 0.529 0.369 0.936
Cu: 0.971 0.631 0.436
Se: 0.104 0.595 0.940
Se: 0.143 0.693 0.597
Se: 0.159 0.368 0.833
Se: 0.165 0.869 0.091
Se: 0.335 0.131 0.591
Se: 0.341 0.632 0.333
Se: 0.357 0.307 0.097
Se: 0.396 0.405 0.440
Se: 0.604 0.905 0.060
Se: 0.643 0.807 0.403
Se: 0.659 0.132 0.167
Se: 0.665 0.631 0.909
Se: 0.835 0.369 0.409
Se: 0.841 0.868 0.667
Se: 0.857 0.193 0.903
Se: 0.896 0.095 0.560

# 4
Compound: RbCuSe2
Source: the Alexandria database
Functional: meta-GGA SCAN
Structure: single point on PBEsol structure

- DFT total energy (eV/atom) = -19.079
- calculated volume (Å³ per atom) = 26.6

Cell: 3.587 3.587 28.598 Å, 90.00 90.00 120.00°
Sites, in units of the cell vectors:
Rb: 0.000 0.000 0.000
Rb: 0.333 0.667 0.667
Rb: 0.667 0.333 0.333
Cu: 0.000 0.000 0.500
Cu: 0.333 0.667 0.167
Cu: 0.667 0.333 0.833
Se: 0.000 0.000 0.423
Se: 0.000 0.000 0.577
Se: 0.333 0.667 0.090
Se: 0.333 0.667 0.243
Se: 0.667 0.333 0.757
Se: 0.667 0.333 0.910

# 5
Compound: Rb2TaCuSe4
Source: the Alexandria database
Functional: meta-GGA SCAN
Structure: single point on PBEsol structure

- DFT total energy (eV/atom) = -26.545
- calculated volume (Å³ per atom) = 30.0

Cell: 14.021 12.535 7.465 Å, 85.01 62.95 32.03°
Sites, in units of the cell vectors:
Rb: 0.054 0.054 0.696
Rb: 0.304 0.304 0.946
Rb: 0.696 0.696 0.054
Rb: 0.946 0.946 0.304
Ta: 0.125 0.125 0.125
Ta: 0.875 0.875 0.875
Cu: 0.375 0.375 0.375
Cu: 0.625 0.625 0.625
Se: 0.035 0.328 0.416
Se: 0.279 0.584 0.672
Se: 0.328 0.035 0.721
Se: 0.416 0.721 0.035
Se: 0.584 0.279 0.965
Se: 0.672 0.965 0.279
Se: 0.721 0.416 0.328
Se: 0.965 0.672 0.584

# 6
Compound: RbTi2CuSn
Source: the Alexandria database
Functional: meta-GGA SCAN
Structure: single point on PBEsol structure

- DFT total energy (eV/atom) = -19.638
- energy relative to the elements (kJ/mol of atoms) = 111
- calculated volume (Å³ per atom) = 35.1

Cell: 5.210 5.210 6.465 Å, 90.00 90.00 90.00°
Sites, in units of the cell vectors:
Rb: 0.000 0.000 0.000
Ti: 0.000 0.500 0.500
Ti: 0.500 0.000 0.500
Cu: 0.500 0.500 0.000
Sn: 0.000 0.000 0.500

# 7
Compound: Rb2SrCuTe
Source: the Alexandria database
Functional: meta-GGA SCAN
Structure: single point on PBEsol structure

- DFT total energy (eV/atom) = -23.258
- calculated volume (Å³ per atom) = 49.7

Cell: 7.073 7.073 4.962 Å, 90.00 90.00 90.00°
Sites, in units of the cell vectors:
Rb: 0.000 0.500 0.000
Rb: 0.500 0.000 0.000
Sr: 0.000 0.000 0.500
Cu: 0.500 0.500 0.500
Te: 0.500 0.500 0.000

# 8
Compound: RbZrTaCu2
Source: the Alexandria database
Functional: meta-GGA SCAN
Structure: single point on PBEsol structure

- DFT total energy (eV/atom) = -27.790
- energy relative to the elements (kJ/mol of atoms) = 183
- calculated volume (Å³ per atom) = 23.1

Cell: 4.751 4.751 5.109 Å, 90.00 90.00 90.00°
Sites, in units of the cell vectors:
Rb: 0.000 0.000 0.000
Zr: 0.500 0.500 0.000
Ta: 0.000 0.000 0.500
Cu: 0.000 0.500 0.500
Cu: 0.500 0.000 0.500

# 9
Compound: RbCuTe3
Source: the Alexandria database
Functional: meta-GGA SCAN
Structure: single point on PBEsol structure

- DFT total energy (eV/atom) = -29.716
- calculated volume (Å³ per atom) = 29.3

Cell: 5.269 5.269 5.269 Å, 90.00 90.00 90.00°
Sites, in units of the cell vectors:
Rb: 0.000 0.000 0.000
Cu: 0.500 0.500 0.500
Te: 0.000 0.500 0.500
Te: 0.500 0.000 0.500
Te: 0.500 0.500 0.000

# 10
Compound: RbCuTe
Source: the Alexandria database
Functional: meta-GGA SCAN
Structure: single point on PBEsol structure

- DFT total energy (eV/atom) = -25.069
- calculated volume (Å³ per atom) = 31.1

Cell: 13.735 4.313 6.476 Å, 90.00 103.03 90.00°
Sites, in units of the cell vectors:
Rb: 0.099 0.000 0.301
Rb: 0.401 0.500 0.699
Rb: 0.599 0.500 0.301
Rb: 0.901 0.000 0.699
Cu: 0.217 0.000 0.916
Cu: 0.283 0.500 0.084
Cu: 0.717 0.500 0.916
Cu: 0.783 0.000 0.084
Te: 0.126 0.500 0.772
Te: 0.374 0.000 0.228
Te: 0.626 0.000 0.772
Te: 0.874 0.500 0.228

# 11
Compound: RbTiCu2
Source: the Alexandria database
Functional: meta-GGA SCAN
Structure: single point on PBEsol structure

- DFT total energy (eV/atom) = -15.765
- energy relative to the elements (kJ/mol of atoms) = 99
- calculated volume (Å³ per atom) = 20.2

Cell: 6.858 6.858 6.858 Å, 90.00 90.00 90.00°
Sites, in units of the cell vectors:
Rb: 0.000 0.000 0.000
Rb: 0.000 0.500 0.500
Rb: 0.500 0.000 0.500
Rb: 0.500 0.500 0.000
Ti: 0.000 0.000 0.500
Ti: 0.000 0.500 0.000
Ti: 0.500 0.000 0.000
Ti: 0.500 0.500 0.500
Cu: 0.250 0.250 0.250
Cu: 0.250 0.250 0.750
Cu: 0.250 0.750 0.250
Cu: 0.250 0.750 0.750
Cu: 0.750 0.250 0.250
Cu: 0.750 0.250 0.750
Cu: 0.750 0.750 0.250
Cu: 0.750 0.750 0.750

# 12
Compound: Rb2CuW2
Source: the Alexandria database
Functional: meta-GGA SCAN
Structure: single point on PBEsol structure

- DFT total energy (eV/atom) = -37.971
- energy relative to the elements (kJ/mol of atoms) = 120
- calculated volume (Å³ per atom) = 28.6

Cell: 3.557 3.557 22.609 Å, 90.00 90.00 90.00°
Sites, in units of the cell vectors:
Rb: 0.000 0.000 0.100
Rb: 0.000 0.000 0.900
Rb: 0.500 0.500 0.400
Rb: 0.500 0.500 0.600
Cu: 0.000 0.000 0.500
Cu: 0.500 0.500 0.000
W: 0.000 0.500 0.250
W: 0.000 0.500 0.750
W: 0.500 0.000 0.250
W: 0.500 0.000 0.750

# 13
Compound: RbZrCu2W
Source: the Alexandria database
Functional: meta-GGA SCAN
Structure: single point on PBEsol structure

- DFT total energy (eV/atom) = -28.239
- energy relative to the elements (kJ/mol of atoms) = 199
- calculated volume (Å³ per atom) = 22.5

Cell: 4.712 4.712 5.057 Å, 90.00 90.00 90.00°
Sites, in units of the cell vectors:
Rb: 0.000 0.000 0.000
Zr: 0.500 0.500 0.000
Cu: 0.000 0.500 0.500
Cu: 0.500 0.000 0.500
W: 0.000 0.000 0.500

# 14
Compound: CuRe2
Source: the Alexandria database
Functional: meta-GGA SCAN
Structure: single point on PBEsol structure

- DFT total energy (eV/atom) = -51.180
- energy relative to the elements (kJ/mol of atoms) = 124
- calculated volume (Å³ per atom) = 15.4

Cell: 4.241 4.241 2.561 Å, 90.00 90.00 90.00°
Sites, in units of the cell vectors:
Cu: 0.000 0.000 0.000
Re: 0.000 0.500 0.500
Re: 0.500 0.000 0.500

# 15
Compound: CuRe
Source: the Alexandria database
Functional: meta-GGA SCAN
Structure: single point on PBEsol structure

- DFT total energy (eV/atom) = -42.903
- polymorph energy (0 for the lowest one) (meV/atom) = 20
- energy relative to the elements (kJ/mol of atoms) = 24
- calculated volume (Å³ per atom) = 13.3

Cell: 2.614 4.311 4.711 Å, 90.00 90.00 90.00°
Sites, in units of the cell vectors:
Cu: 0.250 0.250 0.074
Cu: 0.750 0.750 0.926
Re: 0.250 0.750 0.412
Re: 0.750 0.250 0.588

# 16
Compound: CuRe
Source: the Alexandria database
Functional: meta-GGA SCAN
Structure: single point on PBEsol structure

- DFT total energy (eV/atom) = -42.923
- polymorph energy (0 for the lowest one) (meV/atom) = 0
- energy relative to the elements (kJ/mol of atoms) = 22
- calculated volume (Å³ per atom) = 12.9

Cell: 3.414 3.978 7.624 Å, 90.00 90.00 90.00°
Sites, in units of the cell vectors:
Cu: 0.000 0.250 0.136
Cu: 0.000 0.750 0.864
Cu: 0.500 0.250 0.364
Cu: 0.500 0.750 0.636
Re: 0.000 0.250 0.622
Re: 0.000 0.750 0.378
Re: 0.500 0.250 0.878
Re: 0.500 0.750 0.122

# 17
Compound: Cu3Re
Source: the Alexandria database
Functional: meta-GGA SCAN
Structure: single point on PBEsol structure

- DFT total energy (eV/atom) = -28.655
- energy relative to the elements (kJ/mol of atoms) = 50
- calculated volume (Å³ per atom) = 12.3

Cell: 3.660 3.660 3.660 Å, 90.00 90.00 90.00°
Sites, in units of the cell vectors:
Cu: 0.000 0.000 0.500
Cu: 0.000 0.500 0.000
Cu: 0.500 0.000 0.000
Re: 0.500 0.500 0.500

# 18
Compound: CuRe
Source: the Alexandria database
Functional: meta-GGA SCAN
Structure: single point on PBEsol structure

- DFT total energy (eV/atom) = -42.884
- polymorph energy (0 for the lowest one) (meV/atom) = 39
- energy relative to the elements (kJ/mol of atoms) = 26
- calculated volume (Å³ per atom) = 13.4

Cell: 3.007 4.253 8.385 Å, 90.00 90.00 90.00°
Sites, in units of the cell vectors:
Cu: 0.000 0.250 0.115
Cu: 0.000 0.750 0.885
Cu: 0.500 0.250 0.885
Cu: 0.500 0.750 0.115
Re: 0.000 0.250 0.630
Re: 0.000 0.750 0.370
Re: 0.500 0.250 0.370
Re: 0.500 0.750 0.630

# 19
Compound: Cu3Re
Source: the Alexandria database
Functional: meta-GGA SCAN
Structure: single point on PBEsol structure

- DFT total energy (eV/atom) = -28.874
- energy relative to the elements (kJ/mol of atoms) = 29
- calculated volume (Å³ per atom) = 12.4

Cell: 2.485 8.633 4.610 Å, 90.00 90.00 90.00°
Sites, in units of the cell vectors:
Cu: 0.000 0.000 0.000
Cu: 0.000 0.252 0.322
Cu: 0.000 0.748 0.322
Cu: 0.500 0.248 0.822
Cu: 0.500 0.500 0.500
Cu: 0.500 0.752 0.822
Re: 0.000 0.500 0.000
Re: 0.500 0.000 0.500

# 20
Compound: CuRe5
Source: the Alexandria database
Functional: meta-GGA SCAN
Structure: single point on PBEsol structure

- DFT total energy (eV/atom) = -61.703
- energy relative to the elements (kJ/mol of atoms) = 8
- calculated volume (Å³ per atom) = 14.2

Cell: 4.361 2.751 14.158 Å, 90.00 90.00 90.00°
Sites, in units of the cell vectors:
Cu: 0.000 0.000 0.000
Cu: 0.000 0.500 0.500
Re: 0.000 0.000 0.338
Re: 0.000 0.000 0.668
Re: 0.000 0.500 0.168
Re: 0.000 0.500 0.838
Re: 0.500 0.000 0.110
Re: 0.500 0.000 0.447
Re: 0.500 0.000 0.778
Re: 0.500 0.500 0.278
Re: 0.500 0.500 0.610
Re: 0.500 0.500 0.947